Here is an optimized crystal structure of MgTaSi from Alexandria. Energies are from PBE.

Output
calculated total energy = -18.63 eV for the cell shown
space group = Imm2, No. 44

a b c (Å): 5.466 5.466 5.466
angles (deg): 148.88 142.14 49.79
Positions (direct):
Mg 0.000 0.000 0.000
Ta 0.308 0.308 0.000
Si 0.667 0.667 0.000

=====

Here is an optimized crystal structure of CdSiSe3 from Alexandria. Energies are from PBE.

Output
E above lowest polymorph = 1140 meV per atom
space group = Pm-3m, No. 221

a b c (Å): 5.173 5.173 5.173
angles (deg): 90.00 90.00 90.00
Positions (direct):
Cd 0.000 0.000 0.000
Si 0.500 0.500 0.500
Se 0.000 0.000 0.500
Se 0.000 0.500 0.000
Se 0.500 0.000 0.000

=====

Here is an optimized crystal structure of BaZnSb2Au from Alexandria. Energies are from PBE.

Output
calculated total energy = -9.29 eV for the cell shown
space group = P4/mmm, No. 123

a b c (Å): 6.397 6.397 6.150
angles (deg): 90.00 90.00 90.00
Positions (direct):
Ba 0.000 0.000 0.000
Zn 0.000 0.000 0.500
Sb 0.000 0.500 0.000
Sb 0.500 0.000 0.000
Au 0.500 0.500 0.500

=====

Here is an optimized crystal structure of RbAc2Sn3Se6 from Alexandria. Energies are from PBE.

Output
calculated total energy = -54.70 eV for the cell shown
space group = C2/m, No. 12

a b c (Å): 9.917 9.917 8.755
angles (deg): 99.94 99.94 27.18
Positions (direct):
Rb 0.000 0.000 0.000
Ac 0.333 0.333 0.671
Ac 0.667 0.667 0.329
Sn 0.000 0.000 0.500
Sn 0.336 0.336 0.147
Sn 0.664 0.664 0.853
Se 0.166 0.166 0.571
Se 0.182 0.182 0.084
Se 0.491 0.491 0.722
Se 0.509 0.509 0.278
Se 0.818 0.818 0.916
Se 0.834 0.834 0.429

=====

Here is an optimized crystal structure of Sr6IrAu from Alexandria. Energies are from PBE.

Output
formation energy from the elements = -0.309 eV per atom
space group = C2/m, No. 12

a b c (Å): 7.464 7.464 7.519
angles (deg): 98.63 98.63 119.23
Positions (direct):
Sr 0.071 0.391 0.241
Sr 0.247 0.247 0.763
Sr 0.391 0.071 0.241
Sr 0.609 0.929 0.759
Sr 0.753 0.753 0.237
Sr 0.929 0.609 0.759
Ir 0.000 0.000 0.000
Au 0.500 0.500 0.500

=====

Here is an optimized crystal structure of Sc4InBr from Alexandria. Energies are from PBE.

Output
calculated total energy = -28.95 eV for the cell shown
space group = F-43m, No. 216

a b c (Å): 5.973 5.973 5.973
angles (deg): 60.00 60.00 60.00
Positions (direct):
Sc 0.377 0.377 0.377
Sc 0.377 0.377 0.868
Sc 0.377 0.868 0.377
Sc 0.868 0.377 0.377
In 0.750 0.750 0.750
Br 0.000 0.000 0.000

=====

Here is an optimized crystal structure of ZrSeI2 from Alexandria. Energies are from PBE.

Output
E above lowest polymorph = 0 meV per atom
space group = Cm, No. 8

a b c (Å): 5.253 5.253 8.401
angles (deg): 108.07 108.07 41.70
Positions (direct):
Zr 0.000 0.000 0.000
Se 0.696 0.696 0.000
I 0.345 0.345 0.723
I 0.502 0.502 0.277

=====

Here is an optimized crystal structure of NaTb2CdAu4 from Alexandria. Energies are from PBE.

Output
formation energy from the elements = -0.630 eV per atom
space group = R-3m, No. 166

a b c (Å): 8.575 8.575 8.575
angles (deg): 33.83 33.83 33.83
Positions (direct):
Na 0.000 0.000 0.000
Tb 0.248 0.248 0.248
Tb 0.752 0.752 0.752
Cd 0.500 0.500 0.500
Au 0.124 0.124 0.124
Au 0.374 0.374 0.374
Au 0.626 0.626 0.626
Au 0.876 0.876 0.876

=====

Going through the records in order, we get magnetization values of 0.000 0.000 0.817 0.000 0.000 0.001 0.000 0.000 Bohr magnetons per cell.